AlAgW | GGA-PBE | optimized geometry

abc: 6.223 6.223 6.223
angles: 90.00 90.00 90.00
Space group F-43m (No. 216)
Unique sites:
Al  0.000  0.000  0.000
Ag  0.000  0.000  0.500
W  0.250  0.250  0.750

**Total magnetization**: 0.75 μB/f.u.
**Polymorph energy (0 for the lowest one)**: 1188 meV/atom
**ρ**: 8.8 g/cm3
**DFT formation energy**: 1.1524 eV per atom